VASP calculation (SCAN) on a PBEsol-optimized structure of TlInCl2.

Structure (POSCAR):
```
TlInCl2
1.0
3.7334 0.0000 0.0000
0.0000 3.7323 0.0000
-0.0169 0.0000 7.4767
Tl In Cl
1 1 2
direct
0.0000 0.0000 0.0000
0.0000 0.0000 0.5000
0.4990 0.5000 0.7488
0.5010 0.5000 0.2512
```

Calculated values
Uncorrected formation energy   -0.945 eV/atom
Space-group type   P2/m, No. 10
Calculated volume   26.05 Å³/atom
Polymorph energy (0 for the lowest one)   39.5 meV per atom
Mass density   6.22 Mg/m³

---

VASP calculation (SCAN) on a PBEsol-optimized structure of TlInCl2.

Structure (POSCAR):
```
TlInCl2
1.0
-3.5379 3.5379 6.7208
3.5379 -3.5379 6.7208
3.5379 3.5379 -6.7208
Tl In Cl
2 2 4
direct
0.0000 0.0000 0.0000
0.7500 0.2500 0.5000
0.2500 0.7500 0.5000
0.5000 0.5000 0.0000
0.1299 0.6250 0.0049
0.3750 0.3799 0.5049
0.6201 0.1250 0.9951
0.8750 0.8701 0.4951
```

Calculated values
Uncorrected formation energy   -0.816 eV/atom
Space-group type   I-42d, No. 122
Calculated volume   42.06 Å³/atom
Polymorph energy (0 for the lowest one)   168.4 meV per atom
Mass density   3.85 Mg/m³

---

VASP calculation (SCAN) on a PBEsol-optimized structure of TlIn2Cl.

Structure (POSCAR):
```
TlIn2Cl
1.0
3.3430 0.0000 0.0000
0.0000 3.3430 0.0000
0.0000 0.0000 9.1393
Tl In Cl
1 2 1
direct
0.0000 0.0000 0.0000
0.0000 0.0000 0.4630
0.5000 0.5000 0.7229
0.5000 0.5000 0.2471
```

Calculated values
Uncorrected formation energy   -0.287 eV/atom
Space-group type   P4mm, No. 99
Calculated volume   25.54 Å³/atom
Mass density   7.63 Mg/m³

---

VASP calculation (SCAN) on a PBEsol-optimized structure of TlInCl2.

Structure (POSCAR):
```
TlInCl2
1.0
2.2138 1.2782 7.2717
-2.2138 1.2782 7.2717
0.0000 -2.5563 7.2717
Tl In Cl
1 1 2
direct
0.0000 0.0000 0.0000
0.5000 0.5000 0.5000
0.2491 0.2491 0.2491
0.7509 0.7509 0.7509
```

Calculated values
Uncorrected formation energy   -0.943 eV/atom
Space-group type   R-3m, No. 166
Calculated volume   30.86 Å³/atom
Polymorph energy (0 for the lowest one)   41.2 meV per atom
Mass density   5.25 Mg/m³

---

VASP calculation (SCAN) on a PBEsol-optimized structure of TlInCl2.

Structure (POSCAR):
```
TlInCl2
1.0
0.0000 3.7353 3.7353
3.7353 0.0000 3.7353
3.7353 3.7353 0.0000
Tl In Cl
1 1 2
direct
0.0000 0.0000 0.0000
0.5000 0.5000 0.5000
0.2500 0.2500 0.2500
0.7500 0.7500 0.7500
```

Calculated values
Uncorrected formation energy   -0.945 eV/atom
Space-group type   Fm-3m, No. 225
Calculated volume   26.06 Å³/atom
Polymorph energy (0 for the lowest one)   39.9 meV per atom
Mass density   6.21 Mg/m³

---

VASP calculation (SCAN) on a PBEsol-optimized structure of TlInCl2.

Structure (POSCAR):
```
TlInCl2
1.0
4.2526 0.0000 0.0000
0.0000 4.2526 0.0000
0.0000 0.0000 6.4449
Tl In Cl
1 1 2
direct
0.0000 0.0000 0.0000
0.5000 0.5000 0.4430
0.0000 0.0000 0.5320
0.5000 0.5000 0.8720
```

Calculated values
Uncorrected formation energy   -0.971 eV/atom
Space-group type   P4mm, No. 99
Calculated volume   29.14 Å³/atom
Polymorph energy (0 for the lowest one)   13.3 meV per atom
Mass density   5.56 Mg/m³

---

VASP calculation (SCAN) on a PBEsol-optimized structure of InW2Cl.

Structure (POSCAR):
```
InW2Cl
1.0
2.8013 0.0000 0.0000
0.0000 2.8013 0.0000
0.0000 0.0000 8.5275
In W Cl
1 2 1
direct
0.0000 0.0000 0.0000
0.5000 0.5000 0.2605
0.5000 0.5000 0.7395
0.0000 0.0000 0.5000
```

Calculated values
Uncorrected formation energy   1.201 eV/atom
Space-group type   P4/mmm, No. 123
Calculated volume   16.73 Å³/atom
Polymorph energy (0 for the lowest one)   70.8 meV per atom
Mass density   12.85 Mg/m³

---

VASP calculation (SCAN) on a PBEsol-optimized structure of In2WCl.

Structure (POSCAR):
```
In2WCl
1.0
3.0800 0.0000 0.0000
0.0000 3.0800 0.0000
0.0000 0.0000 8.2549
In W Cl
2 1 1
direct
0.0000 0.0000 0.2290
0.0000 0.0000 0.7710
0.5000 0.5000 0.0000
0.5000 0.5000 0.5000
```

Calculated values
Uncorrected formation energy   0.351 eV/atom
Space-group type   P4/mmm, No. 123
Calculated volume   19.58 Å³/atom
Polymorph energy (0 for the lowest one)   20.2 meV per atom
Mass density   9.52 Mg/m³